(1)
TbTmCO: relaxed, PBE.

Results
The total moment is 0.00 μB/cell. Its uncorrected formation energy is -1.252 eV per atom.

Unit cell a=3.1226 b=3.2633 c=11.8823 alpha=90.00 beta=90.00 gamma=90.00
Closest atoms and distances in Å follow each position.
Element x y z (fractional)
Tb  0.0000  0.0000  0.0000  2 C 2.47, 4 O 2.52
Tb  0.5000  0.5000  0.5000  2 C 2.47, 4 O 2.52
Tm  0.0000  0.5000  0.2532  2 O 2.45, 4 C 2.50
Tm  0.5000  0.0000  0.7532  2 O 2.45, 4 C 2.50
C  0.0000  0.5000  0.8441  2 Tb 2.47, 4 Tm 2.50
C  0.5000  0.0000  0.3441  2 Tb 2.47, 4 Tm 2.50
O  0.0000  0.0000  0.5939  2 Tm 2.45, 4 Tb 2.52
O  0.5000  0.5000  0.0939  2 Tm 2.45, 4 Tb 2.52



(2)
Np2Zn16Ir: relaxed, PBE.

Results
The total moment is 8.24 μB/cell. The value obtained for the calculated formation energy is -0.079 eV/atom.

Unit cell a=6.7820 b=6.7820 c=6.7820 alpha=83.15 beta=83.15 gamma=83.15
Closest atoms and distances in Å follow each position.
Element x y z (fractional)
Np  0.0000  0.0000  0.0000  19 Zn 3.16-3.49
Np  0.3292  0.3292  0.3292  1 Ir 2.87, 3 Zn 3.21
Zn  0.0151  0.0151  0.4971  8 Zn 2.58-2.80
Zn  0.0151  0.4971  0.0151  8 Zn 2.58-2.80
Zn  0.1585  0.6558  0.6558  9 Zn 2.55-2.75, 1 Ir 2.70
Zn  0.3055  0.3055  0.8101  8 Zn 2.58-2.75, 1 Ir 2.80
Zn  0.3055  0.8101  0.3055  8 Zn 2.58-2.75, 1 Ir 2.80
Zn  0.3675  0.6558  0.9440  8 Zn 2.55-2.80
Zn  0.3675  0.9440  0.6558  8 Zn 2.55-2.80
Zn  0.4971  0.0151  0.0151  8 Zn 2.58-2.80
Zn  0.6558  0.1585  0.6558  9 Zn 2.55-2.75, 1 Ir 2.70
Zn  0.6558  0.3675  0.9440  8 Zn 2.55-2.80
Zn  0.6558  0.6558  0.1585  9 Zn 2.55-2.75, 1 Ir 2.70
Zn  0.6558  0.9440  0.3675  8 Zn 2.55-2.80
Zn  0.7584  0.7584  0.7584  1 Ir 2.74, 12 Zn 2.75-2.92
Zn  0.8101  0.3055  0.3055  8 Zn 2.58-2.75, 1 Ir 2.80
Zn  0.9440  0.3675  0.6558  8 Zn 2.55-2.80
Zn  0.9440  0.6558  0.3675  8 Zn 2.55-2.80
Ir  0.5489  0.5489  0.5489  13 Zn 2.70-2.95, 1 Np 2.87



(3)
K2TiI5: relaxed, PBE.

Results
The total moment is 4.00 μB/cell. Its uncorrected formation energy is -1.027 eV per atom. The value obtained for the energy above the lowest structure with this stoichiometry is 0.024 eV/atom.

Unit cell a=14.3027 b=9.3139 c=9.2862 alpha=90.00 beta=90.00 gamma=90.00
Closest atoms and distances in Å follow each position.
Element x y z (fractional)
K  0.1694  0.0143  0.1059  7 I 3.51-3.80
K  0.1694  0.4857  0.1059  7 I 3.51-3.80
K  0.3306  0.5143  0.6059  7 I 3.51-3.80
K  0.3306  0.9857  0.6059  7 I 3.51-3.80
K  0.6694  0.0143  0.3941  7 I 3.51-3.80
K  0.6694  0.4857  0.3941  7 I 3.51-3.80
K  0.8306  0.5143  0.8941  7 I 3.51-3.80
K  0.8306  0.9857  0.8941  7 I 3.51-3.80
Ti  0.0044  0.2500  0.5721  7 I 2.85-3.04
Ti  0.4956  0.7500  0.0721  7 I 2.85-3.04
Ti  0.5044  0.2500  0.9279  7 I 2.85-3.04
Ti  0.9956  0.7500  0.4279  7 I 2.85-3.04
I  0.0182  0.2500  0.8990  1 Ti 3.04
I  0.0462  0.5523  0.6662  2 Ti 2.97-3.01
I  0.0462  0.9477  0.6662  2 Ti 2.97-3.01
I  0.1884  0.2500  0.4391  1 Ti 2.91
I  0.1914  0.7500  0.3735  1 Ti 2.85
I  0.3086  0.2500  0.8735  1 Ti 2.85
I  0.3116  0.7500  0.9391  1 Ti 2.91
I  0.4538  0.0523  0.1662  2 Ti 2.97-3.01
I  0.4538  0.4477  0.1662  2 Ti 2.97-3.01
I  0.4818  0.7500  0.3990  1 Ti 3.04
I  0.5182  0.2500  0.6010  1 Ti 3.04
I  0.5462  0.5523  0.8338  2 Ti 2.97-3.01
I  0.5462  0.9477  0.8338  2 Ti 2.97-3.01
I  0.6884  0.2500  0.0609  1 Ti 2.91
I  0.6914  0.7500  0.1265  1 Ti 2.85
I  0.8086  0.2500  0.6265  1 Ti 2.85
I  0.8116  0.7500  0.5609  1 Ti 2.91
I  0.9538  0.0523  0.3338  2 Ti 2.97-3.01
I  0.9538  0.4477  0.3338  2 Ti 2.97-3.01
I  0.9818  0.7500  0.1010  1 Ti 3.04



(4)
CsTiSe3: relaxed, PBE.

Results
The total moment is 1.43 μB/cell. Its uncorrected formation energy is 1.208 eV per atom. The value obtained for the energy above the lowest structure with this stoichiometry is 2.260 eV/atom.

Unit cell a=5.7099 b=5.7099 c=5.7099 alpha=90.00 beta=90.00 gamma=90.00
Closest atoms and distances in Å follow each position.
Element x y z (fractional)
Cs  0.0000  0.0000  0.0000  6 Se 2.85
Ti  0.5000  0.5000  0.5000  12 Se 4.04
Se  0.0000  0.0000  0.5000  2 Cs 2.85
Se  0.0000  0.5000  0.0000  2 Cs 2.85
Se  0.5000  0.0000  0.0000  2 Cs 2.85